Record 1
{"formula": "CdHg", "functional": "GGA-PBE", "state": "optimized geometry", "lattice": [[7.0265, 0.0000, 0.0000], [0.0000, 4.5523, 0.0000], [0.0000, 0.0000, 6.2471]], "species": ["Cd", "Cd", "Cd", "Cd", "Hg", "Hg", "Hg", "Hg"], "fractional_positions": [[0.0948, 0.2500, 0.1317], [0.4052, 0.7500, 0.6317], [0.5948, 0.2500, 0.3683], [0.9052, 0.7500, 0.8683], [0.1149, 0.2500, 0.6290], [0.3851, 0.7500, 0.1290], [0.6149, 0.2500, 0.8710], [0.8851, 0.7500, 0.3710]], "vol_a3_per_cell": 200, "ef_ev_per_atom": 0.025, "e_tot_ev_per_atom": -0.58, "magmom_total_mub_per_fu": 0.00}

=====

Record 2
{"formula": "Be2AlFe", "functional": "GGA-PBE", "state": "optimized geometry", "lattice": [[1.2908, 0.7452, 7.7501], [-1.2908, 0.7452, 7.7501], [0.0000, -1.4904, 7.7501]], "species": ["Be", "Be", "Al", "Fe"], "fractional_positions": [[0.2447, 0.2447, 0.2447], [0.7553, 0.7553, 0.7553], [0.0000, 0.0000, 0.0000], [0.5000, 0.5000, 0.5000]], "vol_a3_per_cell": 45, "ef_ev_per_atom": 0.141, "e_tot_ev_per_atom": -4.77, "magmom_total_mub_per_fu": 1.92}

=====

Record 3
{"formula": "Hf8Sb2P", "functional": "GGA-PBE", "state": "optimized geometry", "lattice": [[8.2489, -1.8563, 0.0000], [8.2489, 1.8563, 0.0000], [-0.6006, 0.0000, 7.8263]], "species": ["Hf", "Hf", "Hf", "Hf", "Hf", "Hf", "Hf", "Hf", "Sb", "Sb", "P"], "fractional_positions": [[0.0164, 0.0164, 0.2290], [0.2030, 0.2030, 0.3573], [0.3420, 0.3420, 0.9590], [0.4127, 0.4127, 0.4843], [0.5873, 0.5873, 0.5157], [0.6580, 0.6580, 0.0410], [0.7970, 0.7970, 0.6427], [0.9836, 0.9836, 0.7710], [0.1750, 0.1750, 0.7573], [0.8250, 0.8250, 0.2427], [0.5000, 0.5000, 0.0000]], "vol_a3_per_cell": 240, "e_tot_ev_per_atom": -8.96, "magmom_total_mub_per_fu": 0.00}

=====

Record 4
{"formula": "La2Co2Rh", "functional": "GGA-PBE", "state": "optimized geometry", "lattice": [[7.0257, 0.0000, 0.0000], [0.0000, 7.0257, 0.0000], [0.0000, 0.0000, 4.0136]], "species": ["La", "La", "La", "La", "Co", "Co", "Co", "Co", "Rh", "Rh"], "fractional_positions": [[0.1916, 0.3084, 0.0000], [0.3084, 0.8084, 0.0000], [0.6916, 0.1916, 0.0000], [0.8084, 0.6916, 0.0000], [0.1138, 0.6138, 0.5000], [0.3862, 0.1138, 0.5000], [0.6138, 0.8862, 0.5000], [0.8862, 0.3862, 0.5000], [0.0000, 0.0000, 0.5000], [0.5000, 0.5000, 0.5000]], "vol_a3_per_cell": 198, "ef_ev_per_atom": -0.164, "e_tot_ev_per_atom": -6.45, "magmom_total_mub_per_fu": 1.21}